Density functional theory data (PBE) for a relaxed structure of ThNpS4.

Unit cell a=4.6480 b=4.6480 c=6.5679 alpha=90.04 beta=90.04 gamma=90.00
Site moments in Bohr magnetons follow the coordinates.
Fractional coordinates of all 6 atoms:
Th  0.0000  0.0000  0.0000  -0.01
Np  0.5000  0.5000  0.5000  3.31
S  0.9999  0.5002  0.2574  -0.07
S  0.5002  0.9999  0.2574  -0.07
S  0.0001  0.4998  0.7426  -0.07
S  0.4998  0.0001  0.7426  -0.07

Values from the calculation:
Symmetry: P4/mmm, No. 123
E above lowest polymorph, kJ/mol of atoms: 0.0
ΔE_f (raw), meV per atom: -1626.4
Total moment, μB/f.u.: 3.00